1.
Density functional theory data (PBE) for crystalline Ba2CdTePt at its relaxed geometry.

- space group = P4/mmm, No. 123
- formation energy without anion corrections (eV/atom) = -0.896

a = 6.055 Å, b = 6.055 Å, c = 5.214 Å
α = 90.00°, β = 90.00°, γ = 90.00°
Atoms (fractional coordinates):
1 Ba 0.000 0.500 0.000
2 Ba 0.500 0.000 0.000
3 Cd 0.000 0.000 0.500
4 Te 0.500 0.500 0.500
5 Pt 0.000 0.000 0.000

---

2.
Density functional theory data (PBE) for crystalline BaTiCdPt2 at its relaxed geometry.

- space group = P4/mmm, No. 123
- ΔH_f (0 K) (meV/atom) = 416

a = 5.204 Å, b = 5.204 Å, c = 5.000 Å
α = 90.00°, β = 90.00°, γ = 90.00°
Atoms (fractional coordinates):
1 Ba 0.000 0.000 0.000
2 Ti 0.500 0.500 0.000
3 Cd 0.500 0.500 0.500
4 Pt 0.000 0.500 0.500
5 Pt 0.500 0.000 0.500

---

3.
Density functional theory data (PBE) for crystalline BaTlCd2Pt at its relaxed geometry.

- space group = P4/mmm, No. 123
- ΔH_f (0 K) (meV/atom) = -317

a = 5.321 Å, b = 5.321 Å, c = 5.322 Å
α = 90.00°, β = 90.00°, γ = 90.00°
Atoms (fractional coordinates):
1 Ba 0.000 0.000 0.000
2 Tl 0.500 0.500 0.000
3 Cd 0.000 0.500 0.500
4 Cd 0.500 0.000 0.500
5 Pt 0.500 0.500 0.500

---

Copy entry 2 word for word.
Density functional theory data (PBE) for crystalline BaTiCdPt2 at its relaxed geometry.

- space group = P4/mmm, No. 123
- ΔH_f (0 K) (meV/atom) = 416

a = 5.204 Å, b = 5.204 Å, c = 5.000 Å
α = 90.00°, β = 90.00°, γ = 90.00°
Atoms (fractional coordinates):
1 Ba 0.000 0.000 0.000
2 Ti 0.500 0.500 0.000
3 Cd 0.500 0.500 0.500
4 Pt 0.000 0.500 0.500
5 Pt 0.500 0.000 0.500

---

What is the formula in the third record?
BaTlCd2Pt

---

What is the formula in the first record?
Ba2CdTePt